No. 1
Li4Y3TmSe8 | PBE | relaxed

The structure belongs to space group R-3m (No. 166, hexagonal axes); the cell edges are 8.1184, 8.1184 and 19.5023 Å and the angles 90.00°, 90.00° and 120.00°. The asymmetric unit holds Li at (0.0000, 0.0000, 0.0000), Li at (0.0000, 0.5000, 0.0000), Y at (0.0000, 0.5000, 0.5000), Tm at (0.0000, 0.0000, 0.5000), Se at (0.0000, 0.0000, 0.2513) and Se at (0.0032, 0.5016, 0.2508).

The value obtained for the density of states at the Fermi level is 0.00 states/eV/f.u. For the uncorrected formation energy, the calculation gives -1702 meV/atom.

=====

No. 2
Y4CoNi | PBE | relaxed

The structure belongs to space group I4_1md (No. 109); the cell edges are 9.133, 9.133 and 7.884 Å and the angles 90.00°, 90.00° and 90.00°. The asymmetric unit holds Y at (0.000, 0.200, 0.000), Y at (0.000, 0.203, 0.491), Co at (0.000, 0.000, 0.246) and Ni at (0.000, 0.000, 0.745).

The value obtained for the density of states at the Fermi level is 4.15 states/eV/f.u. For the formation energy, the calculation gives -135 meV per atom. The polymorph energy (0 for the lowest one) comes out at 0 meV/atom.

=====

No. 3
KPu2Cu2S6 | PBE | relaxed

The structure belongs to space group P-1 (No. 2); the cell edges are 7.052, 7.250 and 7.396 Å and the angles 61.80°, 62.49° and 61.09°. The asymmetric unit holds K at (0.000, 0.000, 0.000), Pu at (0.327, 0.328, 0.015), Cu at (0.442, 0.699, 0.570), S at (0.093, 0.683, 0.762), S at (0.315, 0.537, 0.240) and S at (0.461, 0.084, 0.763).

The value obtained for the density of states at the Fermi level is 13.60 states/eV/f.u. For the uncorrected formation energy, the calculation gives -999 meV/atom.

=====

No. 4
Re2SiAsS | PBE | relaxed

The structure belongs to space group P4/mmm (No. 123); the cell edges are 4.552, 4.552 and 4.481 Å and the angles 90.00°, 90.00° and 90.00°. The asymmetric unit holds Re at (0.000, 0.500, 0.000), Si at (0.000, 0.000, 0.000), As at (0.000, 0.000, 0.500) and S at (0.500, 0.500, 0.500).

The value obtained for the density of states at the Fermi level is 5.43 states/eV/f.u. For the uncorrected formation energy, the calculation gives 1653 meV/atom.

=====

No. 5
KBa2TiPt | PBE | relaxed

The structure belongs to space group P4/mmm (No. 123); the cell edges are 6.287, 6.287 and 5.125 Å and the angles 90.00°, 90.00° and 90.00°. The asymmetric unit holds K at (0.000, 0.000, 0.000), Ba at (0.000, 0.500, 0.000), Ti at (0.500, 0.500, 0.500) and Pt at (0.000, 0.000, 0.500).

The value obtained for the density of states at the Fermi level is 11.07 states/eV/f.u. For the formation energy, the calculation gives 1178 meV per atom.

=====

No. 6
Li2AlGe2 | PBE | relaxed

The structure belongs to space group Ibam (No. 72); the cell edges are 5.564, 11.640 and 5.787 Å and the angles 90.00°, 90.00° and 90.00°. The asymmetric unit holds Li at (0.233, 0.181, 0.000), Al at (0.000, 0.000, 0.250) and Ge at (0.161, 0.412, 0.000).

The value obtained for the density of states at the Fermi level is 1.44 states/eV/f.u. For the formation energy, the calculation gives -94 meV per atom. The polymorph energy (0 for the lowest one) comes out at 42 meV/atom.

=====

What is the formula in the third record?
KPu2Cu2S6